Below is an optimized crystal structure of LiV2P2O9, with properties calculated at the PBE with a Hubbard U level.

Cell lengths 13.9394, 6.3809, 7.7339 Å; angles 90.00, 90.00, 90.00 degrees
Closest atoms and distances in Å follow each position.
Sites, in units of the cell vectors:
Li 0.2362 0.2500 0.0436  1 O 2.01
Li 0.2638 0.7500 0.5436  1 O 2.01
Li 0.7362 0.2500 0.4564  1 O 2.01
Li 0.7638 0.7500 0.9564  1 O 2.01
V 0.0000 0.0000 0.0000  6 O 2.00-2.09
V 0.0000 0.5000 0.0000  6 O 2.00-2.09
V 0.1183 0.2500 0.6498  5 O 1.82-1.99
V 0.3817 0.7500 0.1498  5 O 1.82-1.99
V 0.5000 0.0000 0.5000  6 O 2.00-2.09
V 0.5000 0.5000 0.5000  6 O 2.00-2.09
V 0.6183 0.2500 0.8502  5 O 1.82-1.99
V 0.8817 0.7500 0.3502  5 O 1.82-1.99
P 0.0638 0.7500 0.6490  4 O 1.52-1.57
P 0.1930 0.7500 0.1130  4 O 1.55-1.56
P 0.3070 0.2500 0.6130  4 O 1.55-1.56
P 0.4362 0.2500 0.1490  4 O 1.52-1.57
P 0.5638 0.7500 0.8510  4 O 1.52-1.57
P 0.6930 0.7500 0.3870  4 O 1.55-1.56
P 0.8070 0.2500 0.8870  4 O 1.55-1.56
P 0.9362 0.2500 0.3510  4 O 1.52-1.57
O 0.0163 0.2500 0.4844  1 P 1.52
O 0.0168 0.7500 0.8338  1 P 1.57
O 0.0521 0.2500 0.8525  1 V 1.82
O 0.1309 0.5599 0.6346  1 P 1.54
O 0.1309 0.9401 0.6346  1 P 1.54
O 0.1322 0.5473 0.0930  1 P 1.55
O 0.1322 0.9527 0.0930  1 P 1.55
O 0.2241 0.2500 0.4776  1 P 1.56
O 0.2491 0.2500 0.7853  1 P 1.56
O 0.2509 0.7500 0.2853  1 P 1.56
O 0.2759 0.7500 0.9776  1 P 1.56
O 0.3678 0.0473 0.5930  1 P 1.55
O 0.3678 0.4527 0.5930  1 P 1.55
O 0.3691 0.0599 0.1346  1 P 1.54
O 0.3691 0.4401 0.1346  1 P 1.54
O 0.4479 0.7500 0.3525  1 V 1.82
O 0.4832 0.2500 0.3338  1 P 1.57
O 0.4837 0.7500 0.9844  1 P 1.52
O 0.5163 0.2500 0.0156  1 P 1.52
O 0.5168 0.7500 0.6662  1 P 1.57
O 0.5521 0.2500 0.6475  1 V 1.82
O 0.6309 0.5599 0.8654  1 P 1.54
O 0.6309 0.9401 0.8654  1 P 1.54
O 0.6322 0.5473 0.4070  1 P 1.55
O 0.6322 0.9527 0.4070  1 P 1.55
O 0.7241 0.2500 0.0224  1 P 1.56
O 0.7491 0.2500 0.7147  1 P 1.56
O 0.7509 0.7500 0.2147  1 P 1.56
O 0.7759 0.7500 0.5224  1 P 1.56
O 0.8678 0.0473 0.9070  1 P 1.55
O 0.8678 0.4527 0.9070  1 P 1.55
O 0.8691 0.0599 0.3654  1 P 1.54
O 0.8691 0.4401 0.3654  1 P 1.54
O 0.9479 0.7500 0.1475  1 V 1.82
O 0.9832 0.2500 0.1662  1 P 1.57
O 0.9837 0.7500 0.5156  1 P 1.52

Calculated values
- SG = No. 62
- magnetization (μB per atom) = 0.214
- DFT total energy (eV/cell) = -412.8